NiMoH | GGA-PBE | optimized geometry

Properties
* energy: -6.69 eV/atom
* calculated density: 9.1 g cm⁻³
* energy relative to the lowest polymorph listed for this composition: 0 meV/atom

abc: 2.697 10.025 4.217
angles: 90.00 90.00 90.00
Fractional coordinates of all 12 atoms:
Ni: 0.000 0.060 0.250
Ni: 0.000 0.940 0.750
Ni: 0.500 0.440 0.750
Ni: 0.500 0.560 0.250
Mo: 0.000 0.333 0.250
Mo: 0.000 0.667 0.750
Mo: 0.500 0.167 0.750
Mo: 0.500 0.833 0.250
H: 0.000 0.318 0.750
H: 0.000 0.682 0.250
H: 0.500 0.182 0.250
H: 0.500 0.818 0.750

Ni4MoH6 | GGA-PBE | optimized geometry

Properties
* energy: -4.90 eV/atom
* calculated density: 7.6 g cm⁻³

abc: 4.589 4.589 12.429
angles: 90.00 90.00 145.64
Fractional coordinates of all 22 atoms:
Ni: 0.092 0.908 0.629
Ni: 0.092 0.908 0.871
Ni: 0.361 0.639 0.553
Ni: 0.361 0.639 0.947
Ni: 0.639 0.361 0.053
Ni: 0.639 0.361 0.447
Ni: 0.908 0.092 0.129
Ni: 0.908 0.092 0.371
Mo: 0.176 0.824 0.250
Mo: 0.824 0.176 0.750
H: 0.000 0.000 0.000
H: 0.000 0.000 0.500
H: 0.167 0.833 0.750
H: 0.273 0.727 0.088
H: 0.273 0.727 0.412
H: 0.459 0.541 0.670
H: 0.459 0.541 0.830
H: 0.541 0.459 0.170
H: 0.541 0.459 0.330
H: 0.727 0.273 0.588
H: 0.727 0.273 0.912
H: 0.833 0.167 0.250

Ni2MoHOs | GGA-PBE | optimized geometry

Properties
* energy: -7.30 eV/atom
* calculated density: 12.4 g cm⁻³
* energy relative to the lowest polymorph listed for this composition: 27 meV/atom

abc: 3.719 3.719 3.912
angles: 90.00 90.00 90.00
Fractional coordinates of all 5 atoms:
Ni: 0.000 0.500 0.000
Ni: 0.500 0.000 0.000
Mo: 0.000 0.000 0.500
H: 0.500 0.500 0.000
Os: 0.500 0.500 0.500

Ni2MoHOs | GGA-PBE | optimized geometry

Properties
* energy: -7.33 eV/atom
* calculated density: 12.4 g cm⁻³
* energy relative to the lowest polymorph listed for this composition: 0 meV/atom

abc: 3.689 3.689 3.971
angles: 90.00 90.00 90.00
Fractional coordinates of all 5 atoms:
Ni: 0.000 0.500 0.000
Ni: 0.500 0.000 0.000
Mo: 0.000 0.000 0.500
H: 0.000 0.000 0.000
Os: 0.500 0.500 0.500

NiMoH2Pb | GGA-PBE | optimized geometry

Properties
* energy: -4.53 eV/atom
* calculated density: 8.6 g cm⁻³

abc: 3.820 3.820 4.826
angles: 90.00 90.00 90.00
Fractional coordinates of all 5 atoms:
Ni: 0.000 0.000 0.000
Mo: 0.000 0.000 0.500
H: 0.000 0.500 0.000
H: 0.500 0.000 0.000
Pb: 0.500 0.500 0.500

Ni2MoHPd | GGA-PBE | optimized geometry

Properties
* energy: -6.07 eV/atom
* calculated density: 9.6 g cm⁻³

abc: 3.809 3.809 3.824
angles: 90.00 90.00 90.00
Fractional coordinates of all 5 atoms:
Ni: 0.000 0.500 0.000
Ni: 0.500 0.000 0.000
Mo: 0.000 0.000 0.500
H: 0.000 0.000 0.000
Pd: 0.500 0.500 0.500

NiMo2HPt | GGA-PBE | optimized geometry

Properties
* energy: -7.43 eV/atom
* calculated density: 12.3 g cm⁻³
* energy relative to the lowest polymorph listed for this composition: 0 meV/atom

abc: 3.879 3.879 4.012
angles: 90.00 90.00 90.00
Fractional coordinates of all 5 atoms:
Ni: 0.000 0.000 0.000
Mo: 0.000 0.500 0.500
Mo: 0.500 0.000 0.500
H: 0.000 0.000 0.500
Pt: 0.500 0.500 0.000

NiMo2HPt | GGA-PBE | optimized geometry

Properties
* energy: -7.34 eV/atom
* calculated density: 12.2 g cm⁻³
* energy relative to the lowest polymorph listed for this composition: 81 meV/atom

abc: 3.857 3.857 4.091
angles: 90.00 90.00 90.00
Fractional coordinates of all 5 atoms:
Ni: 0.000 0.000 0.000
Mo: 0.000 0.500 0.500
Mo: 0.500 0.000 0.500
H: 0.500 0.500 0.500
Pt: 0.500 0.500 0.000

ReNi2MoH | GGA-PBE | optimized geometry

Properties
* energy: -7.58 eV/atom
* calculated density: 12.2 g cm⁻³

abc: 3.690 3.690 4.009
angles: 90.00 90.00 90.00
Fractional coordinates of all 5 atoms:
Re: 0.000 0.000 0.000
Ni: 0.000 0.500 0.500
Ni: 0.500 0.000 0.500
Mo: 0.500 0.500 0.000
H: 0.500 0.500 0.500

ReNi2MoH | GGA-PBE | optimized geometry

Properties
* energy: -7.58 eV/atom
* calculated density: 12.2 g cm⁻³

abc: 3.712 3.712 3.965
angles: 90.00 90.00 90.00
Fractional coordinates of all 5 atoms:
Re: 0.000 0.000 0.000
Ni: 0.000 0.500 0.500
Ni: 0.500 0.000 0.500
Mo: 0.500 0.500 0.000
H: 0.000 0.000 0.500

Re2NiMoH | GGA-PBE | optimized geometry

Properties
* energy: -8.89 eV/atom
* calculated density: 14.9 g cm⁻³

abc: 3.960 3.960 3.750
angles: 90.00 90.00 90.00
Fractional coordinates of all 5 atoms:
Re: 0.000 0.500 0.000
Re: 0.500 0.000 0.000
Ni: 0.000 0.000 0.500
Mo: 0.500 0.500 0.500
H: 0.000 0.000 0.000

NiMoHRh2 | GGA-PBE | optimized geometry

Properties
* energy: -6.96 eV/atom
* calculated density: 10.6 g cm⁻³
* energy relative to the lowest polymorph listed for this composition: 0 meV/atom

abc: 3.893 3.893 3.736
angles: 90.00 90.00 90.00
Fractional coordinates of all 5 atoms:
Ni: 0.000 0.000 0.000
Mo: 0.500 0.500 0.000
H: 0.000 0.000 0.500
Rh: 0.000 0.500 0.500
Rh: 0.500 0.000 0.500

NiMo2HRh | GGA-PBE | optimized geometry

Properties
* energy: -7.60 eV/atom
* calculated density: 9.9 g cm⁻³
* energy relative to the lowest polymorph listed for this composition: 28 meV/atom

abc: 3.897 3.897 3.912
angles: 90.00 90.00 90.00
Fractional coordinates of all 5 atoms:
Ni: 0.000 0.000 0.000
Mo: 0.000 0.500 0.500
Mo: 0.500 0.000 0.500
H: 0.500 0.500 0.500
Rh: 0.500 0.500 0.000

NiMoHRh2 | GGA-PBE | optimized geometry

Properties
* energy: -6.91 eV/atom
* calculated density: 10.3 g cm⁻³
* energy relative to the lowest polymorph listed for this composition: 49 meV/atom

abc: 3.855 3.855 3.909
angles: 90.00 90.00 90.00
Fractional coordinates of all 5 atoms:
Ni: 0.000 0.000 0.000
Mo: 0.500 0.500 0.000
H: 0.500 0.500 0.500
Rh: 0.000 0.500 0.500
Rh: 0.500 0.000 0.500

NiMo2HRh | GGA-PBE | optimized geometry

Properties
* energy: -7.63 eV/atom
* calculated density: 10.0 g cm⁻³
* energy relative to the lowest polymorph listed for this composition: 0 meV/atom

abc: 3.913 3.913 3.852
angles: 90.00 90.00 90.00
Fractional coordinates of all 5 atoms:
Ni: 0.000 0.000 0.000
Mo: 0.000 0.500 0.500
Mo: 0.500 0.000 0.500
H: 0.000 0.000 0.500
Rh: 0.500 0.500 0.000

Ni2SbMoH | GGA-PBE | optimized geometry

Properties
* energy: -5.94 eV/atom
* calculated density: 9.3 g cm⁻³

abc: 3.909 3.909 3.938
angles: 90.00 90.00 90.00
Fractional coordinates of all 5 atoms:
Ni: 0.000 0.500 0.000
Ni: 0.500 0.000 0.000
Sb: 0.000 0.000 0.500
Mo: 0.500 0.500 0.500
H: 0.500 0.500 0.000

NiMoH2Se | GGA-PBE | optimized geometry

Properties
* energy: -4.84 eV/atom
* calculated density: 6.3 g cm⁻³

abc: 3.489 3.489 5.109
angles: 90.00 90.00 90.00
Fractional coordinates of all 5 atoms:
Ni: 0.000 0.000 0.000
Mo: 0.000 0.000 0.500
H: 0.000 0.500 0.000
H: 0.500 0.000 0.000
Se: 0.500 0.500 0.500

Ni2SnMoH | GGA-PBE | optimized geometry

Properties
* energy: -5.93 eV/atom
* calculated density: 9.2 g cm⁻³

abc: 3.896 3.896 3.971
angles: 90.00 90.00 90.00
Fractional coordinates of all 5 atoms:
Ni: 0.000 0.500 0.000
Ni: 0.500 0.000 0.000
Sn: 0.000 0.000 0.500
Mo: 0.500 0.500 0.500
H: 0.500 0.500 0.000

Ta2NiMoH | GGA-PBE | optimized geometry

Properties
* energy: -8.75 eV/atom
* calculated density: 13.0 g cm⁻³
* energy relative to the lowest polymorph listed for this composition: 138 meV/atom

abc: 4.244 4.244 3.669
angles: 90.00 90.00 90.00
Fractional coordinates of all 5 atoms:
Ta: 0.000 0.500 0.000
Ta: 0.500 0.000 0.000
Ni: 0.000 0.000 0.500
Mo: 0.500 0.500 0.500
H: 0.500 0.500 0.000

Ta2NiMoH | GGA-PBE | optimized geometry

Properties
* energy: -8.88 eV/atom
* calculated density: 13.2 g cm⁻³
* energy relative to the lowest polymorph listed for this composition: 0 meV/atom

abc: 4.370 4.370 3.406
angles: 90.00 90.00 90.00
Fractional coordinates of all 5 atoms:
Ta: 0.000 0.500 0.000
Ta: 0.500 0.000 0.000
Ni: 0.000 0.000 0.500
Mo: 0.500 0.500 0.500
H: 0.000 0.000 0.000

TaNiMoH | GGA-PBE | optimized geometry

Properties
* energy: -7.98 eV/atom
* calculated density: 11.9 g cm⁻³
* energy relative to the lowest polymorph listed for this composition: 0 meV/atom

abc: 2.777 2.777 12.208
angles: 90.00 90.00 90.00
Fractional coordinates of all 8 atoms:
Ta: 0.000 0.000 0.000
Ta: 0.500 0.500 0.500
Ni: 0.000 0.000 0.347
Ni: 0.500 0.500 0.847
Mo: 0.000 0.000 0.697
Mo: 0.500 0.500 0.197
H: 0.000 0.000 0.171
H: 0.500 0.500 0.671

TaNiMoH | GGA-PBE | optimized geometry

Properties
* energy: -7.90 eV/atom
* calculated density: 11.7 g cm⁻³
* energy relative to the lowest polymorph listed for this composition: 84 meV/atom

abc: 8.437 4.268 2.684
angles: 90.00 97.68 90.00
Fractional coordinates of all 8 atoms:
Ta: 0.000 0.000 0.000
Ta: 0.500 0.500 0.000
Ni: 0.182 0.500 0.710
Ni: 0.682 0.000 0.710
Mo: 0.320 0.000 0.358
Mo: 0.820 0.500 0.358
H: 0.493 0.000 0.948
H: 0.993 0.500 0.948

TaNiMoH | GGA-PBE | optimized geometry

Properties
* energy: -7.98 eV/atom
* calculated density: 11.9 g cm⁻³
* energy relative to the lowest polymorph listed for this composition: 1 meV/atom

abc: 2.788 2.788 12.123
angles: 90.00 90.00 90.00
Fractional coordinates of all 8 atoms:
Ta: 0.000 0.000 0.000
Ta: 0.500 0.500 0.500
Ni: 0.000 0.000 0.343
Ni: 0.500 0.500 0.843
Mo: 0.000 0.000 0.701
Mo: 0.500 0.500 0.201
H: 0.000 0.000 0.543
H: 0.500 0.500 0.043

TaNiMoH | GGA-PBE | optimized geometry

Properties
* energy: -7.91 eV/atom
* calculated density: 11.7 g cm⁻³
* energy relative to the lowest polymorph listed for this composition: 74 meV/atom

abc: 2.711 4.049 8.674
angles: 90.00 90.00 90.00
Fractional coordinates of all 8 atoms:
Ta: 0.000 0.000 0.000
Ta: 0.500 0.500 0.500
Ni: 0.000 0.000 0.348
Ni: 0.500 0.500 0.848
Mo: 0.000 0.000 0.680
Mo: 0.500 0.500 0.180
H: 0.000 0.500 0.681
H: 0.500 0.000 0.181

TaNiMoH | GGA-PBE | optimized geometry

Properties
* energy: -7.97 eV/atom
* calculated density: 11.6 g cm⁻³
* energy relative to the lowest polymorph listed for this composition: 17 meV/atom

abc: 3.367 13.109 2.750
angles: 90.00 127.68 90.00
Fractional coordinates of all 8 atoms:
Ta: 0.000 0.000 0.000
Ta: 0.500 0.500 0.000
Ni: 0.000 0.325 0.000
Ni: 0.500 0.825 0.000
Mo: 0.000 0.674 0.000
Mo: 0.500 0.174 0.000
H: 0.000 0.391 0.500
H: 0.500 0.891 0.500

TaNiMoH | GGA-PBE | optimized geometry

Properties
* energy: -7.96 eV/atom
* calculated density: 11.7 g cm⁻³
* energy relative to the lowest polymorph listed for this composition: 18 meV/atom

abc: 3.805 12.324 2.791
angles: 90.00 132.84 90.00
Fractional coordinates of all 8 atoms:
Ta: 0.000 0.000 0.000
Ta: 0.500 0.500 0.000
Ni: 0.000 0.349 0.000
Ni: 0.500 0.849 0.000
Mo: 0.000 0.707 0.000
Mo: 0.500 0.207 0.000
H: 0.000 0.106 0.500
H: 0.500 0.606 0.500

TaNiMoH | GGA-PBE | optimized geometry

Properties
* energy: -7.91 eV/atom
* calculated density: 11.8 g cm⁻³
* energy relative to the lowest polymorph listed for this composition: 77 meV/atom

abc: 4.423 3.322 6.654
angles: 90.00 103.56 90.00
Fractional coordinates of all 8 atoms:
Ta: 0.000 0.000 0.000
Ta: 0.500 0.500 0.000
Ni: 0.391 0.000 0.693
Ni: 0.891 0.500 0.693
Mo: 0.335 0.500 0.389
Mo: 0.835 0.000 0.389
H: 0.417 0.000 0.209
H: 0.917 0.500 0.209

Values for volume, Å³ per atom, ordered as above
9.50, 6.71, 10.82, 10.81, 14.08, 11.10, 12.07, 12.17, 10.92, 10.92, 11.76, 11.32, 11.88, 11.62, 11.80, 12.03, 12.44, 12.06, 13.22, 13.01, 11.76, 11.98, 11.78, 11.90, 12.01, 11.99, 11.88